A relaxed structure of CaAu4S2, computed with PBE-GGA.

The structure in CIF format:
```
data_CaAu4S2
_chemical_formula_sum 'Ca2 Au8 S4'
_cell_length_a 5.3500
_cell_length_b 5.3500
_cell_length_c 13.3275
_cell_angle_alpha 90.00
_cell_angle_beta 90.00
_cell_angle_gamma 90.00
_symmetry_space_group_name_H-M 'I 4/m m m'
_symmetry_Int_Tables_number 139
_symmetry_space_group_name_Hall '-I 4 2'
loop_
_atom_site_label
_atom_site_type_symbol
_atom_site_fract_x
_atom_site_fract_y
_atom_site_fract_z
Ca1 Ca 0.0000 0.0000 0.0000
Au1 Au 0.0000 0.0000 0.2287
Au2 Au 0.0000 0.5000 0.0000
S1 S 0.0000 0.0000 0.4020
```

Calculated values
**Crystal system**: tetragonal
**Energy relative to the elements, uncorrected**: 4.0 eV per formula unit
**D(E_F)**: 0.8319 states/eV per atom

***

A relaxed structure of Zr6Tl2Bi, computed with PBE-GGA.

The structure in CIF format:
```
data_Zr6Tl2Bi
_chemical_formula_sum 'Zr12 Tl4 Bi2'
_cell_length_a 8.7791
_cell_length_b 9.3280
_cell_length_c 5.1309
_cell_angle_alpha 90.00
_cell_angle_beta 90.00
_cell_angle_gamma 90.00
_symmetry_space_group_name_H-M 'P n n m'
_symmetry_Int_Tables_number 58
loop_
_symmetry_equiv_pos_as_xyz
'x,y,z'
'-x,-y,-z'
'-x,-y,z'
'x,y,-z'
'x+1/2,-y+1/2,-z+1/2'
'-x+1/2,y+1/2,z+1/2'
'-x+1/2,y+1/2,-z+1/2'
'x+1/2,-y+1/2,z+1/2'
loop_
_atom_site_label
_atom_site_type_symbol
_atom_site_fract_x
_atom_site_fract_y
_atom_site_fract_z
Zr1 Zr 0.0009 0.1658 0.0000
Zr2 Zr 0.1653 0.4151 0.5000
Zr3 Zr 0.1671 0.0783 0.5000
Tl1 Tl 0.1663 0.7501 0.5000
Bi1 Bi 0.0000 0.5000 0.0000
```

Calculated values
**Formation energy**: -120.4 meV/atom
**Crystal system**: orthorhombic
**D(E_F)**: 1.2459 states/eV per atom

***

A relaxed structure of Dy3HoIr, computed with PBE-GGA.

The structure in CIF format:
```
data_Dy3HoIr
_chemical_formula_sum 'Dy6 Ho2 Ir2'
_cell_length_a 7.6111
_cell_length_b 6.5151
_cell_length_c 6.1668
_cell_angle_alpha 90.00
_cell_angle_beta 90.00
_cell_angle_gamma 90.00
_symmetry_space_group_name_H-M 'P m n 21'
_symmetry_Int_Tables_number 31
loop_
_symmetry_equiv_pos_as_xyz
'x,y,z'
'-x+1/2,-y,z+1/2'
'-x,y,z'
'x+1/2,-y,z+1/2'
loop_
_atom_site_label
_atom_site_type_symbol
_atom_site_fract_x
_atom_site_fract_y
_atom_site_fract_z
Dy1 Dy 0.0000 0.1533 0.0000
Dy2 Dy 0.2500 0.3124 0.5033
Ho1 Ho 0.0000 0.8467 0.5069
Ir1 Ir 0.0000 0.5010 0.2539
```

Calculated values
**Formation energy**: -334.9 meV/atom
**Crystal system**: orthorhombic
**Energy above the lowest structure with this stoichiometry**: 0.000 eV/atom
**D(E_F)**: 1.1484 states/eV per atom